# 1
# PmNd2Cd3 | the Alexandria database | PBE | optimized geometry
data_PmNd2Cd3
_cell_length_a 5.4416
_cell_length_b 5.4416
_cell_length_c 13.3237
_cell_angle_alpha 90.00
_cell_angle_beta 90.00
_cell_angle_gamma 120.00
_symmetry_space_group_name_H-M 'P 1'
_symmetry_Int_Tables_number 1
loop_
_symmetry_equiv_pos_as_xyz
'x,y,z'
loop_
_atom_site_label
_atom_site_type_symbol
_atom_site_fract_x
_atom_site_fract_y
_atom_site_fract_z
Pm1 Pm 0.3333 0.6667 0.1665
Pm2 Pm 0.6667 0.3333 0.8335
Nd1 Nd 0.0000 0.0000 0.0000
Nd2 Nd 0.0000 0.0000 0.5000
Nd3 Nd 0.3333 0.6667 0.6672
Nd4 Nd 0.6667 0.3333 0.3328
Cd1 Cd 0.0000 0.0000 0.2491
Cd2 Cd 0.0000 0.0000 0.7509
Cd3 Cd 0.3333 0.6667 0.4161
Cd4 Cd 0.3333 0.6667 0.9168
Cd5 Cd 0.6667 0.3333 0.0832
Cd6 Cd 0.6667 0.3333 0.5839
# N(E_F): 1.09 states/eV per atom
# distance to the lowest polymorph of the same formula: 0.000 eV per atom
# ΔH_f (0 K): -0.32 eV/atom
# total magnetization: 2.6 μB per cell



# 2
# Pm2NdCd3 | the Alexandria database | PBE | optimized geometry
data_Pm2NdCd3
_cell_length_a 5.4317
_cell_length_b 5.4317
_cell_length_c 6.6461
_cell_angle_alpha 90.00
_cell_angle_beta 90.00
_cell_angle_gamma 120.00
_symmetry_space_group_name_H-M 'P 1'
_symmetry_Int_Tables_number 1
loop_
_symmetry_equiv_pos_as_xyz
'x,y,z'
loop_
_atom_site_label
_atom_site_type_symbol
_atom_site_fract_x
_atom_site_fract_y
_atom_site_fract_z
Pm1 Pm 0.3333 0.6667 0.1659
Pm2 Pm 0.6667 0.3333 0.8341
Nd1 Nd 0.0000 0.0000 0.5000
Cd1 Cd 0.0000 0.0000 0.0000
Cd2 Cd 0.3333 0.6667 0.6679
Cd3 Cd 0.6667 0.3333 0.3321
# N(E_F): 1.09 states/eV per atom
# distance to the lowest polymorph of the same formula: 0.000 eV per atom
# ΔH_f (0 K): -0.32 eV/atom
# total magnetization: 1.3 μB per cell



# 3
# Pm8Nd2Cd | the Alexandria database | PBE | optimized geometry
data_Pm8Nd2Cd
_cell_length_a 6.2900
_cell_length_b 6.2900
_cell_length_c 12.7741
_cell_angle_alpha 102.95
_cell_angle_beta 102.95
_cell_angle_gamma 48.19
_symmetry_space_group_name_H-M 'P 1'
_symmetry_Int_Tables_number 1
loop_
_symmetry_equiv_pos_as_xyz
'x,y,z'
loop_
_atom_site_label
_atom_site_type_symbol
_atom_site_fract_x
_atom_site_fract_y
_atom_site_fract_z
Pm1 Pm 0.0366 0.0366 0.3244
Pm2 Pm 0.1391 0.1391 0.9518
Pm3 Pm 0.2455 0.2455 0.5874
Pm4 Pm 0.4107 0.4107 0.8607
Pm5 Pm 0.5893 0.5893 0.1393
Pm6 Pm 0.7545 0.7545 0.4126
Pm7 Pm 0.8609 0.8609 0.0482
Pm8 Pm 0.9634 0.9634 0.6756
Nd1 Nd 0.3146 0.3146 0.2381
Nd2 Nd 0.6854 0.6854 0.7619
Cd1 Cd 0.5000 0.5000 0.5000
# N(E_F): 1.39 states/eV per atom
# distance to the lowest polymorph of the same formula: 0.000 eV per atom
# ΔH_f (0 K): -0.02 eV/atom
# total magnetization: 0.0 μB per cell



# 4
# Pm2NdCd | the Alexandria database | PBE | optimized geometry
data_Pm2NdCd
_cell_length_a 3.7278
_cell_length_b 3.7278
_cell_length_c 9.0586
_cell_angle_alpha 90.00
_cell_angle_beta 90.00
_cell_angle_gamma 90.00
_symmetry_space_group_name_H-M 'P 1'
_symmetry_Int_Tables_number 1
loop_
_symmetry_equiv_pos_as_xyz
'x,y,z'
loop_
_atom_site_label
_atom_site_type_symbol
_atom_site_fract_x
_atom_site_fract_y
_atom_site_fract_z
Pm1 Pm 0.0000 0.0000 0.2224
Pm2 Pm 0.0000 0.0000 0.7776
Nd1 Nd 0.5000 0.5000 0.5000
Cd1 Cd 0.5000 0.5000 0.0000
# N(E_F): 1.08 states/eV per atom
# distance to the lowest polymorph of the same formula: 0.000 eV per atom
# ΔH_f (0 K): -0.15 eV/atom
# total magnetization: 0.0 μB per cell



# 5
# Pm3Nd8Cd | the Alexandria database | PBE | optimized geometry
data_Pm3Nd8Cd
_cell_length_a 8.4711
_cell_length_b 8.4711
_cell_length_c 8.4711
_cell_angle_alpha 117.78
_cell_angle_beta 117.78
_cell_angle_gamma 93.88
_symmetry_space_group_name_H-M 'P 1'
_symmetry_Int_Tables_number 1
loop_
_symmetry_equiv_pos_as_xyz
'x,y,z'
loop_
_atom_site_label
_atom_site_type_symbol
_atom_site_fract_x
_atom_site_fract_y
_atom_site_fract_z
Pm1 Pm 0.0000 0.0000 0.0000
Pm2 Pm 0.2500 0.7500 0.5000
Pm3 Pm 0.7500 0.2500 0.5000
Nd1 Nd 0.1229 0.1229 0.7468
Nd2 Nd 0.2441 0.2441 0.5017
Nd3 Nd 0.2576 0.7559 0.0000
Nd4 Nd 0.3760 0.3760 0.2532
Nd5 Nd 0.6240 0.8771 0.0000
Nd6 Nd 0.7424 0.7424 0.4983
Nd7 Nd 0.7559 0.2576 0.0000
Nd8 Nd 0.8771 0.6240 0.0000
Cd1 Cd 0.5000 0.5000 0.0000
# N(E_F): 1.54 states/eV per atom
# ΔH_f (0 K): 0.45 eV/atom
# total magnetization: 0.0 μB per cell



# 6
# Pm3Nd12Cd | the Alexandria database | PBE | optimized geometry
data_Pm3Nd12Cd
_cell_length_a 5.1277
_cell_length_b 5.1277
_cell_length_c 20.7398
_cell_angle_alpha 90.00
_cell_angle_beta 90.00
_cell_angle_gamma 90.00
_symmetry_space_group_name_H-M 'P 1'
_symmetry_Int_Tables_number 1
loop_
_symmetry_equiv_pos_as_xyz
'x,y,z'
loop_
_atom_site_label
_atom_site_type_symbol
_atom_site_fract_x
_atom_site_fract_y
_atom_site_fract_z
Pm1 Pm 0.0000 0.0000 0.0000
Pm2 Pm 0.0000 0.0000 0.2535
Pm3 Pm 0.0000 0.0000 0.7465
Nd1 Nd 0.0000 0.5000 0.1268
Nd2 Nd 0.0000 0.5000 0.3796
Nd3 Nd 0.0000 0.5000 0.6204
Nd4 Nd 0.0000 0.5000 0.8732
Nd5 Nd 0.5000 0.0000 0.1268
Nd6 Nd 0.5000 0.0000 0.3796
Nd7 Nd 0.5000 0.0000 0.6204
Nd8 Nd 0.5000 0.0000 0.8732
Nd9 Nd 0.5000 0.5000 0.0000
Nd10 Nd 0.5000 0.5000 0.2555
Nd11 Nd 0.5000 0.5000 0.5000
Nd12 Nd 0.5000 0.5000 0.7445
Cd1 Cd 0.0000 0.0000 0.5000
# N(E_F): 1.44 states/eV per atom
# ΔH_f (0 K): -0.01 eV/atom
# total magnetization: 0.0 μB per cell